The following is a GGA-PBEsol calculation of an optimized crystal structure of MgTa2Hg, from the Alexandria database.

abc: 2.8400 2.8400 9.1580
angles: 90.00 90.00 90.00
Space group P4/mmm (No. 123)
Unique sites:
Mg: 0.0000 0.0000 0.0000 (multiplicity 1)
Ta: 0.5000 0.5000 0.2522 (multiplicity 2)
Hg: 0.0000 0.0000 0.5000 (multiplicity 1)

Computed properties:
For the calculated volume, the calculation gives 74 Å³ per cell. The formation energy is 0.335 eV per atom. The calculation puts the calculated density at 13.2 g/cm³. As for the total energy: -26.0 eV per formula unit.